CrPbF5 | Alexandria | PBE with a Hubbard U | optimized geometry; E_tot = -0.407 Ry/atom; size of the total moment = 6.00 μB/cell
1.0
5.5696 -0.5285 1.7568
1.7718 5.3066 1.7568
0.2763 0.1798 7.8629
Cr Pb F
2 2 10
Direct
0.0000 0.0000 0.0000 Cr
0.0000 0.0000 0.5000 Cr
0.5381 0.4619 0.7500 Pb
0.4619 0.5381 0.2500 Pb
0.2276 0.2177 0.8896 F
0.2815 0.7238 0.5332 F
0.2177 0.2276 0.3896 F
0.9417 0.0583 0.7500 F
0.2762 0.7185 0.9668 F
0.7238 0.2815 0.0332 F
0.0583 0.9417 0.2500 F
0.7823 0.7724 0.6104 F
0.7185 0.2762 0.4668 F
0.7724 0.7823 0.1104 F